(1)
{"formula": "NaLaSiO4", "functional": "GGA-PBEsol", "state": "relaxed", "cell": [[21.352, 0.000, 0.000], [0.000, 9.369, 0.000], [0.000, 0.000, 5.505]], "species": ["Na", "Na", "Na", "Na", "Na", "Na", "Na", "Na", "Na", "Na", "Na", "Na", "La", "La", "La", "La", "La", "La", "La", "La", "La", "La", "La", "La", "Si", "Si", "Si", "Si", "Si", "Si", "Si", "Si", "Si", "Si", "Si", "Si", "O", "O", "O", "O", "O", "O", "O", "O", "O", "O", "O", "O", "O", "O", "O", "O", "O", "O", "O", "O", "O", "O", "O", "O", "O", "O", "O", "O", "O", "O", "O", "O", "O", "O", "O", "O", "O", "O", "O", "O", "O", "O", "O", "O", "O", "O", "O", "O"], "fractional_positions": [[0.058, 0.071, 0.000], [0.107, 0.574, 0.472], [0.224, 0.423, 0.953], [0.276, 0.923, 0.453], [0.393, 0.074, 0.972], [0.442, 0.571, 0.500], [0.558, 0.429, 0.000], [0.607, 0.926, 0.472], [0.724, 0.077, 0.953], [0.776, 0.577, 0.453], [0.893, 0.426, 0.972], [0.942, 0.929, 0.500], [0.000, 0.303, 0.505], [0.000, 0.697, 0.005], [0.167, 0.197, 0.446], [0.167, 0.800, 0.961], [0.333, 0.300, 0.461], [0.333, 0.697, 0.946], [0.500, 0.197, 0.505], [0.500, 0.803, 0.005], [0.667, 0.303, 0.446], [0.667, 0.700, 0.961], [0.833, 0.200, 0.461], [0.833, 0.803, 0.946], [0.077, 0.415, 0.966], [0.091, 0.914, 0.494], [0.244, 0.082, 0.963], [0.256, 0.582, 0.463], [0.409, 0.414, 0.994], [0.423, 0.915, 0.466], [0.577, 0.085, 0.966], [0.591, 0.586, 0.494], [0.744, 0.418, 0.963], [0.756, 0.918, 0.463], [0.909, 0.086, 0.994], [0.923, 0.585, 0.466], [0.003, 0.439, 0.901], [0.058, 0.073, 0.524], [0.069, 0.806, 0.712], [0.074, 0.847, 0.228], [0.085, 0.305, 0.195], [0.107, 0.572, 0.032], [0.108, 0.350, 0.716], [0.167, 0.936, 0.526], [0.169, 0.064, 0.025], [0.225, 0.640, 0.718], [0.227, 0.424, 0.395], [0.245, 0.695, 0.240], [0.255, 0.195, 0.740], [0.273, 0.924, 0.895], [0.275, 0.140, 0.218], [0.331, 0.564, 0.525], [0.333, 0.436, 0.026], [0.392, 0.850, 0.216], [0.393, 0.072, 0.532], [0.415, 0.805, 0.695], [0.426, 0.347, 0.728], [0.431, 0.306, 0.212], [0.442, 0.573, 0.024], [0.497, 0.939, 0.401], [0.503, 0.061, 0.901], [0.558, 0.427, 0.524], [0.569, 0.694, 0.712], [0.574, 0.653, 0.228], [0.585, 0.195, 0.195], [0.607, 0.928, 0.032], [0.608, 0.150, 0.716], [0.667, 0.564, 0.526], [0.669, 0.436, 0.025], [0.725, 0.860, 0.718], [0.727, 0.076, 0.395], [0.745, 0.805, 0.240], [0.755, 0.305, 0.740], [0.773, 0.576, 0.895], [0.775, 0.360, 0.218], [0.831, 0.936, 0.525], [0.833, 0.064, 0.026], [0.892, 0.650, 0.216], [0.893, 0.428, 0.532], [0.915, 0.695, 0.695], [0.926, 0.153, 0.728], [0.931, 0.194, 0.212], [0.942, 0.927, 0.024], [0.997, 0.561, 0.401]]}



(2)
{"formula": "MnCoAg2", "functional": "GGA-PBEsol", "state": "relaxed", "cell": [[9.029, 0.000, 0.000], [0.000, 2.793, 0.000], [-1.226, 0.000, 4.527]], "species": ["Mn", "Mn", "Co", "Co", "Ag", "Ag", "Ag", "Ag"], "fractional_positions": [[0.000, 0.000, 0.000], [0.500, 0.500, 0.000], [0.218, 0.500, 0.224], [0.718, 0.000, 0.224], [0.239, 0.000, 0.743], [0.472, 0.000, 0.472], [0.739, 0.500, 0.743], [0.972, 0.500, 0.472]], "e_form_ev_per_atom": 0.377}



| no. | energy relative to the lowest polymorph listed for this composition (eV per atom) | total DFT energy (no corrections) (eV/atom) | volume (Å³ per cell) |
| --- | --- | --- | --- |
| 1 | 0.000 | -7.732 | 1101 |
| 2 | 0.000 | -5.653 | 114 |